(1)
Entry from Alexandria via LeMat-Bulk: a relaxed Ca2Ir crystal (PBEsol).

Calculated values
Energy of formation (eV per atom): 0.047
Magnetic moment (μB/cell): 0.00
Uncorrected energy (eV/atom): -4.65

Cell: 4.1495 4.1495 6.0229 Å, 90.00 90.00 120.00°
With the nearest neighbours (Å) after each atom.
Space group P-3m1 (No. 164)
One atom of each set of equivalent atoms:
Ca1 0.3333 0.6667 0.2289 x2  3 Ir 2.76
Ir1 0.0000 0.0000 0.0000 x1  6 Ca 2.76



(2)
Entry from Alexandria via LeMat-Bulk: a relaxed KReH2 crystal (PBEsol).

Calculated values
Magnetic moment (μB/cell): 0.00
Uncorrected energy (eV/atom): -4.55

Cell: 5.2659 5.2659 7.1550 Å, 90.00 90.00 90.00°
With the nearest neighbours (Å) after each atom.
Space group I-42d (No. 122)
One atom of each set of equivalent atoms:
K1 0.0000 0.0000 0.0000 x4  4 H 2.43
Re1 0.0000 0.0000 0.5000 x4  4 H 1.78
H1 0.1522 0.2500 0.6250 x8  2 Re 1.78



(3)
Entry from Alexandria via LeMat-Bulk: a relaxed LaTa3H crystal (PBEsol).

Calculated values
Magnetic moment (μB/cell): 0.00
Uncorrected energy (eV/atom): -6.28

Cell: 4.8740 4.8740 4.8740 Å, 90.00 90.00 90.00°
With the nearest neighbours (Å) after each atom.
Space group Pm-3m (No. 221)
One atom of each set of equivalent atoms:
La1 0.0000 0.0000 0.0000 x1  6 Ta 2.44
Ta1 0.0000 0.0000 0.5000 x3  2 La 2.44
H1 0.5000 0.5000 0.5000 x1  12 Ta 3.45



Question: Which value of uncorrected energy does entry 1 give?
Answer: -4.65 eV/atom



Repeat the second record exactly.
Entry from Alexandria via LeMat-Bulk: a relaxed KReH2 crystal (PBEsol).

Calculated values
Magnetic moment (μB/cell): 0.00
Uncorrected energy (eV/atom): -4.55

Cell: 5.2659 5.2659 7.1550 Å, 90.00 90.00 90.00°
With the nearest neighbours (Å) after each atom.
Space group I-42d (No. 122)
One atom of each set of equivalent atoms:
K1 0.0000 0.0000 0.0000 x4  4 H 2.43
Re1 0.0000 0.0000 0.5000 x4  4 H 1.78
H1 0.1522 0.2500 0.6250 x8  2 Re 1.78



Question: Which formula does entry 3 have?
Answer: LaTa3H